P:
DFT (PBE) results for a geometry-optimized Ca2LaPbS structure.

SG: P4/mmm (123)

Structure (POSCAR):
```
Ca2LaPbS
1.0
6.299 0.000 0.000
0.000 6.299 0.000
0.000 0.000 5.793
Ca La Pb S
2 1 1 1
direct
0.000 0.500 0.000
0.500 0.000 0.000
0.000 0.000 0.000
0.000 0.000 0.500
0.500 0.500 0.500
```

---

Q:
DFT (PBE) results for a geometry-optimized Ca2LaPbS structure.

SG: P4/mmm (123)

Structure (POSCAR):
```
Ca2LaPbS
1.0
5.303 0.000 0.000
0.000 5.303 0.000
0.000 0.000 5.570
Ca La Pb S
2 1 1 1
direct
0.000 0.500 0.000
0.500 0.000 0.000
0.000 0.000 0.500
0.500 0.500 0.500
0.000 0.000 0.000
```

---

It is P that is the least stable of them.